Compound: Pm4Tm3Th2
Source: Alexandria
Functional: PBE
Structure: relaxed

## Properties
- Calculated formation energy: 0.12 eV/atom
- Electronic total energy: -5.13 eV/atom
- Energy relative to the lowest polymorph listed for this composition: 41 meV/atom

Lattice parameters (Å, degrees): 10.020 10.020 6.168 96.08 96.08 72.35
Sites, in units of the cell vectors:
Pm  0.088  0.811  0.984
Pm  0.149  0.419  0.154
Pm  0.189  0.912  0.516
Pm  0.419  0.149  0.654
Pm  0.581  0.851  0.346
Pm  0.811  0.088  0.484
Pm  0.851  0.581  0.846
Pm  0.912  0.189  0.016
Tm  0.060  0.278  0.582
Tm  0.278  0.060  0.082
Tm  0.393  0.607  0.250
Tm  0.607  0.393  0.750
Tm  0.722  0.940  0.918
Tm  0.940  0.722  0.418
Th  0.251  0.530  0.688
Th  0.470  0.749  0.812
Th  0.530  0.251  0.188
Th  0.749  0.470  0.312